32
Lattice="9.3376 0.0000 0.0000 0.0000 11.0037 0.0000 0.0000 0.0000 10.4493" Properties=species:S:1:pos:R:3 comment="Na3SiTe4 (PBE-GGA, relaxed)" mass_density_g_cm3=3.76 formation_energy_uncorrected_mev_per_atom=-505 m_tot_mub_per_cell=0.0 e_above_lowest_polymorph_mev_per_atom=5 pbc="T T T"
Na 1.0553 0.4381 2.3291
Na 1.0553 5.0638 2.3291
Na 1.4585 8.2527 4.4996
Na 3.2103 2.7509 9.7242
Na 3.6135 5.9399 7.5537
Na 3.6135 10.5656 7.5537
Na 5.7241 0.4381 2.8955
Na 5.7241 5.0638 2.8955
Na 6.1273 8.2527 0.7250
Na 7.8791 2.7509 5.9496
Na 8.2823 5.9399 8.1201
Na 8.2823 10.5656 8.1201
Si 1.8137 8.2527 10.2088
Si 2.8552 2.7509 4.9842
Si 6.4825 8.2527 5.4651
Si 7.5240 2.7509 0.2404
Te 0.0253 8.2527 1.5485
Te 1.0092 8.2527 7.8219
Te 1.4866 0.6580 5.5099
Te 1.4866 4.8438 5.5099
Te 3.1822 6.1599 0.2853
Te 3.1822 10.3456 0.2853
Te 3.6596 2.7509 2.5973
Te 4.6435 2.7509 6.7731
Te 4.6941 8.2527 3.6761
Te 5.6780 8.2527 7.8520
Te 6.1554 0.6580 10.1640
Te 6.1554 4.8438 10.1640
Te 7.8510 6.1599 4.9394
Te 7.8510 10.3456 4.9394
Te 8.3284 2.7509 2.6274
Te 9.3124 2.7509 8.9007